1.
The following is a DFT calculation (PBE) of crystalline VZnPt at its relaxed geometry.

Summary:
For the formation energy, the calculation gives -0.3408 eV/atom.

Unit cell a=2.752 b=2.752 c=11.358 alpha=90.00 beta=90.00 gamma=90.00
Space group I4mm (No. 107)
Asymmetric unit:
V (0.000, 0.000, 0.000) (multiplicity 2)
Zn (0.000, 0.000, 0.333) (multiplicity 2)
Pt (0.000, 0.000, 0.662) (multiplicity 2)



2.
The following is a DFT calculation (PBE) of crystalline ErAlSiPt3 at its relaxed geometry.

Summary:
The energy relative to the elements, uncorrected comes out at -5.20 eV/f.u.

Unit cell a=6.879 b=11.740 c=5.508 alpha=90.00 beta=90.00 gamma=90.00
Space group Cmcm (No. 63)
Asymmetric unit:
Er (0.000, 0.200, 0.250) (multiplicity 4)
Al (0.000, 0.456, 0.250) (multiplicity 4)
Si (0.000, 0.125, 0.750) (multiplicity 4)
Pt (0.000, 0.322, 0.750) (multiplicity 4)
Pt (0.206, 0.000, 0.000) (multiplicity 8)